The following is a DFT calculation (PBEsol) of an optimized crystal structure of SrLa.

Output
calculated formation energy = 0.20 eV per formula unit
polymorph energy (0 for the lowest one) = 0.51 kcal/mol of atoms
size of the total moment = 0.0 μB per cell

Cell: 3.899 3.899 12.823 Å, 90.00 90.00 120.00°
Element x y z (fractional)
Sr1 0.333 0.667 0.137
Sr2 0.667 0.333 0.863
La1 0.333 0.667 0.608
La2 0.667 0.333 0.392